VASP calculation (GGA-PBE) on an optimized crystal structure of TbNdZn.

crystal system = cubic
DFT formation energy = 31 meV per atom

```
TbNdZn
1.0
0.000 3.559 3.559
3.559 0.000 3.559
3.559 3.559 0.000
Tb Nd Zn
1 1 1
direct
0.000 0.000 0.000
0.500 0.500 0.500
0.250 0.250 0.250
```



VASP calculation (GGA-PBE) on an optimized crystal structure of TbNd4Zn5.

crystal system = tetragonal
DFT formation energy = -311 meV per atom

```
TbNd4Zn5
1.0
3.661 0.000 0.000
0.000 3.661 0.000
0.000 0.000 18.376
Tb Nd Zn
1 4 5
direct
0.000 0.000 0.000
0.000 0.000 0.196
0.000 0.000 0.399
0.000 0.000 0.601
0.000 0.000 0.804
0.500 0.500 0.093
0.500 0.500 0.298
0.500 0.500 0.500
0.500 0.500 0.702
0.500 0.500 0.907
```



VASP calculation (GGA-PBE) on an optimized crystal structure of Tb3NdZn.

crystal system = monoclinic
DFT formation energy = 50 meV per atom

```
Tb3NdZn
1.0
5.849 -4.188 0.000
5.849 4.188 0.000
-4.369 0.000 6.446
Tb Nd Zn
6 2 2
direct
0.019 0.613 0.290
0.080 0.080 0.267
0.387 0.981 0.710
0.613 0.019 0.290
0.920 0.920 0.733
0.981 0.387 0.710
0.451 0.451 0.697
0.549 0.549 0.303
0.228 0.228 0.059
0.772 0.772 0.941
```



VASP calculation (GGA-PBE) on an optimized crystal structure of Tb2NdZn9.

crystal system = trigonal
DFT formation energy = -319 meV per atom

```
Tb2NdZn9
1.0
2.741 1.582 8.637
-2.741 1.582 8.637
0.000 -3.165 8.637
Tb Nd Zn
2 1 9
direct
0.141 0.141 0.141
0.859 0.859 0.859
0.000 0.000 0.000
0.077 0.586 0.586
0.335 0.335 0.335
0.414 0.414 0.923
0.414 0.923 0.414
0.500 0.500 0.500
0.586 0.077 0.586
0.586 0.586 0.077
0.665 0.665 0.665
0.923 0.414 0.414
```



VASP calculation (GGA-PBE) on an optimized crystal structure of TbNd4Zn2.

crystal system = trigonal
DFT formation energy = 19 meV per atom

```
TbNd4Zn2
1.0
2.762 1.594 7.652
-2.762 1.594 7.652
0.000 -3.189 7.652
Tb Nd Zn
1 4 2
direct
0.000 0.000 0.000
0.254 0.254 0.254
0.428 0.428 0.428
0.572 0.572 0.572
0.746 0.746 0.746
0.123 0.123 0.123
0.877 0.877 0.877
```



VASP calculation (GGA-PBE) on an optimized crystal structure of Tb2NdZn4.

crystal system = tetragonal
DFT formation energy = -139 meV per atom

```
Tb2NdZn4
1.0
-2.604 2.604 6.345
2.604 -2.604 6.345
2.604 2.604 -6.345
Tb Nd Zn
2 1 4
direct
0.223 0.223 0.000
0.777 0.777 0.000
0.500 0.500 0.000
0.113 0.613 0.500
0.387 0.887 0.500
0.613 0.113 0.500
0.887 0.387 0.500
```



VASP calculation (GGA-PBE) on an optimized crystal structure of Tb3Nd4Zn.

crystal system = tetragonal
DFT formation energy = -63 meV per atom

```
Tb3Nd4Zn
1.0
3.654 0.000 0.000
0.000 3.654 0.000
0.000 0.000 18.928
Tb Nd Zn
3 4 1
direct
0.000 0.000 0.000
0.000 0.000 0.266
0.000 0.000 0.734
0.500 0.500 0.134
0.500 0.500 0.403
0.500 0.500 0.597
0.500 0.500 0.866
0.000 0.000 0.500
```



VASP calculation (GGA-PBE) on an optimized crystal structure of Tb5Nd4Zn.

crystal system = tetragonal
DFT formation energy = -56 meV per atom

```
Tb5Nd4Zn
1.0
3.612 0.000 0.000
0.000 3.612 0.000
0.000 0.000 24.121
Tb Nd Zn
5 4 1
direct
0.000 0.000 0.000
0.000 0.000 0.213
0.000 0.000 0.427
0.000 0.000 0.573
0.000 0.000 0.787
0.500 0.500 0.106
0.500 0.500 0.319
0.500 0.500 0.681
0.500 0.500 0.894
0.500 0.500 0.500
```



VASP calculation (GGA-PBE) on an optimized crystal structure of Tb2NdZn6.

crystal system = hexagonal
DFT formation energy = -366 meV per atom

```
Tb2NdZn6
1.0
7.832 0.000 0.000
-3.916 6.783 0.000
0.000 0.000 3.548
Tb Nd Zn
2 1 6
direct
0.333 0.667 0.000
0.667 0.333 0.000
0.000 0.000 0.000
0.000 0.336 0.500
0.000 0.664 0.500
0.336 0.000 0.500
0.336 0.336 0.500
0.664 0.000 0.500
0.664 0.664 0.500
```



VASP calculation (GGA-PBE) on an optimized crystal structure of Tb3Nd2Zn2.

crystal system = orthorhombic
DFT formation energy = -129 meV per atom

```
Tb3Nd2Zn2
1.0
1.827 -15.244 0.000
1.827 15.244 0.000
0.000 0.000 3.573
Tb Nd Zn
3 2 2
direct
0.000 0.000 0.000
0.418 0.582 0.500
0.582 0.418 0.500
0.301 0.699 0.500
0.699 0.301 0.500
0.138 0.862 0.000
0.862 0.138 0.000
```



VASP calculation (GGA-PBE) on an optimized crystal structure of TbNd4Zn.

crystal system = tetragonal
DFT formation energy = -94 meV per atom

```
TbNd4Zn
1.0
3.668 0.000 0.000
0.000 3.668 0.000
0.000 0.000 13.996
Tb Nd Zn
1 4 1
direct
0.000 0.000 0.000
0.000 0.000 0.369
0.000 0.000 0.631
0.500 0.500 0.181
0.500 0.500 0.819
0.500 0.500 0.500
```



VASP calculation (GGA-PBE) on an optimized crystal structure of Tb5NdZn4.

crystal system = tetragonal
DFT formation energy = -269 meV per atom

```
Tb5NdZn4
1.0
3.588 0.000 0.000
0.000 3.588 0.000
0.000 0.000 19.503
Tb Nd Zn
5 1 4
direct
0.000 0.000 0.000
0.000 0.000 0.182
0.000 0.000 0.366
0.000 0.000 0.634
0.000 0.000 0.818
0.500 0.500 0.500
0.500 0.500 0.092
0.500 0.500 0.275
0.500 0.500 0.725
0.500 0.500 0.908
```



Question: Which of these has the lowest DFT formation energy?
Answer: Tb2NdZn6



Question: Among the records above, which one has the lowest DFT formation energy?
Answer: Tb2NdZn6



Question: Look up the DFT formation energy of the second one.
Answer: -311 meV per atom



Copy entry 3 word for word.
VASP calculation (GGA-PBE) on an optimized crystal structure of Tb3NdZn.

crystal system = monoclinic
DFT formation energy = 50 meV per atom

```
Tb3NdZn
1.0
5.849 -4.188 0.000
5.849 4.188 0.000
-4.369 0.000 6.446
Tb Nd Zn
6 2 2
direct
0.019 0.613 0.290
0.080 0.080 0.267
0.387 0.981 0.710
0.613 0.019 0.290
0.920 0.920 0.733
0.981 0.387 0.710
0.451 0.451 0.697
0.549 0.549 0.303
0.228 0.228 0.059
0.772 0.772 0.941
```